No. 1
## RbSr2CaRu (PBE-GGA)

Data for crystalline RbSr2CaRu at its relaxed geometry.

Computed properties:
**Crystal system**: tetragonal
**E_form**: 0.561 eV per atom
**Energy above the most stable polymorph in this dataset**: 0.0 meV/atom
**DOS at the Fermi energy**: 1.9671 states/eV/atom

a b c (Å): 5.836 5.836 6.482
angles (deg): 90.00 90.00 90.00
Space group P4/mmm (No. 123)
Asymmetric unit:
Rb 0.000 0.000 0.000 [1 per cell]
Sr 0.000 0.500 0.500 [2 per cell]
Ca 0.500 0.500 0.000 [1 per cell]
Ru 0.000 0.000 0.500 [1 per cell]



No. 2
## RbSr2CaRu (PBE-GGA)

Data for crystalline RbSr2CaRu at its relaxed geometry.

Computed properties:
**Crystal system**: tetragonal
**E_form**: 1.756 eV per atom
**Energy above the most stable polymorph in this dataset**: 1194.4 meV/atom
**DOS at the Fermi energy**: 1.7236 states/eV/atom

a b c (Å): 6.160 6.160 5.822
angles (deg): 90.00 90.00 90.00
Space group P4/mmm (No. 123)
Asymmetric unit:
Rb 0.000 0.000 0.000 [1 per cell]
Sr 0.000 0.500 0.000 [2 per cell]
Ca 0.000 0.000 0.500 [1 per cell]
Ru 0.500 0.500 0.500 [1 per cell]



No. 3
## Rb2CaRuW (PBE-GGA)

Data for crystalline Rb2CaRuW at its relaxed geometry.

Computed properties:
**Crystal system**: tetragonal
**E_form**: 2.554 eV per atom
**DOS at the Fermi energy**: 1.1829 states/eV/atom

a b c (Å): 6.648 6.648 5.296
angles (deg): 90.00 90.00 90.00
Space group P4/mmm (No. 123)
Asymmetric unit:
Rb 0.000 0.500 0.000 [2 per cell]
Ca 0.000 0.000 0.000 [1 per cell]
Ru 0.500 0.500 0.500 [1 per cell]
W 0.000 0.000 0.500 [1 per cell]



No. 4
## RbCaZrRu2 (PBE-GGA)

Data for crystalline RbCaZrRu2 at its relaxed geometry.

Computed properties:
**Crystal system**: tetragonal
**E_form**: 1.096 eV per atom
**DOS at the Fermi energy**: 1.1447 states/eV/atom

a b c (Å): 4.921 4.921 5.705
angles (deg): 90.00 90.00 90.00
Space group P4/mmm (No. 123)
Asymmetric unit:
Rb 0.000 0.000 0.000 [1 per cell]
Ca 0.500 0.500 0.000 [1 per cell]
Zr 0.000 0.000 0.500 [1 per cell]
Ru 0.000 0.500 0.500 [2 per cell]



No. 5
## RbCaS2 (PBE-GGA)

Data for crystalline RbCaS2 at its relaxed geometry.

Computed properties:
**Crystal system**: cubic
**DOS at the Fermi energy**: 1.1423 states/eV/atom
**ΔE_f (raw)**: -3.972 eV per formula unit

a b c (Å): 7.391 7.391 7.391
angles (deg): 90.00 90.00 90.00
Space group Fm-3m (No. 225)
Asymmetric unit:
Rb 0.000 0.000 0.000 [4 per cell]
Ca 0.000 0.000 0.500 [4 per cell]
S 0.250 0.250 0.250 [8 per cell]



No. 6
## RbCa2S (PBE-GGA)

Data for crystalline RbCa2S at its relaxed geometry.

Computed properties:
**Crystal system**: tetragonal
**DOS at the Fermi energy**: 0.7712 states/eV/atom
**ΔE_f (raw)**: -2.674 eV per formula unit

a b c (Å): 8.619 8.619 12.264
angles (deg): 90.00 90.00 90.00
Space group I-42d (No. 122)
Asymmetric unit:
Rb 0.000 0.000 0.000 [4 per cell]
Ca 0.006 0.250 0.625 [8 per cell]
S 0.000 0.000 0.500 [4 per cell]



No. 7
## RbCa3S (PBE-GGA)

Data for crystalline RbCa3S at its relaxed geometry.

Computed properties:
**Crystal system**: cubic
**Energy above the most stable polymorph in this dataset**: 0.0 meV/atom
**DOS at the Fermi energy**: 1.3407 states/eV/atom
**ΔE_f (raw)**: -2.555 eV per formula unit

a b c (Å): 5.842 5.842 5.842
angles (deg): 90.00 90.00 90.00
Space group Pm-3m (No. 221)
Asymmetric unit:
Rb 0.000 0.000 0.000 [1 per cell]
Ca 0.000 0.500 0.500 [3 per cell]
S 0.500 0.500 0.500 [1 per cell]



No. 8
## RbCa3S (PBE-GGA)

Data for crystalline RbCa3S at its relaxed geometry.

Computed properties:
**Crystal system**: cubic
**Energy above the most stable polymorph in this dataset**: 1626.2 meV/atom
**DOS at the Fermi energy**: 1.3336 states/eV/atom
**ΔE_f (raw)**: 5.576 eV per formula unit

a b c (Å): 6.136 6.136 6.136
angles (deg): 90.00 90.00 90.00
Space group Pm-3m (No. 221)
Asymmetric unit:
Rb 0.000 0.000 0.000 [1 per cell]
Ca 0.000 0.000 0.500 [3 per cell]
S 0.500 0.500 0.500 [1 per cell]



No. 9
## RbCaS2 (PBE-GGA)

Data for crystalline RbCaS2 at its relaxed geometry.

Computed properties:
**Crystal system**: tetragonal
**DOS at the Fermi energy**: 0.4259 states/eV/atom
**ΔE_f (raw)**: -4.292 eV per formula unit

a b c (Å): 6.448 6.448 15.360
angles (deg): 90.00 90.00 90.00
Space group I-42d (No. 122)
Asymmetric unit:
Rb 0.000 0.000 0.000 [4 per cell]
Ca 0.000 0.000 0.500 [4 per cell]
S 0.151 0.250 0.625 [8 per cell]



No. 10
## Rb2CaSbS (PBE-GGA)

Data for crystalline Rb2CaSbS at its relaxed geometry.

Computed properties:
**Crystal system**: tetragonal
**DOS at the Fermi energy**: 1.8375 states/eV/atom
**ΔE_f (raw)**: -0.878 eV per formula unit

a b c (Å): 6.842 6.842 5.870
angles (deg): 90.00 90.00 90.00
Space group P4/mmm (No. 123)
Asymmetric unit:
Rb 0.000 0.500 0.000 [2 per cell]
Ca 0.000 0.000 0.500 [1 per cell]
Sb 0.000 0.000 0.000 [1 per cell]
S 0.500 0.500 0.500 [1 per cell]



No. 11
## RbCa2ScS (PBE-GGA)

Data for crystalline RbCa2ScS at its relaxed geometry.

Computed properties:
**Crystal system**: tetragonal
**DOS at the Fermi energy**: 1.6556 states/eV/atom
**ΔE_f (raw)**: -1.232 eV per formula unit

a b c (Å): 5.477 5.477 6.385
angles (deg): 90.00 90.00 90.00
Space group P4/mmm (No. 123)
Asymmetric unit:
Rb 0.000 0.000 0.000 [1 per cell]
Ca 0.000 0.500 0.500 [2 per cell]
Sc 0.500 0.500 0.000 [1 per cell]
S 0.000 0.000 0.500 [1 per cell]



No. 12
## Rb2CaSiS (PBE-GGA)

Data for crystalline Rb2CaSiS at its relaxed geometry.

Computed properties:
**Crystal system**: tetragonal
**DOS at the Fermi energy**: 1.1361 states/eV/atom
**ΔE_f (raw)**: 1.219 eV per formula unit

a b c (Å): 7.098 7.098 4.634
angles (deg): 90.00 90.00 90.00
Space group P4/mmm (No. 123)
Asymmetric unit:
Rb 0.000 0.500 0.000 [2 per cell]
Ca 0.000 0.000 0.500 [1 per cell]
Si 0.500 0.500 0.000 [1 per cell]
S 0.500 0.500 0.500 [1 per cell]



No. 13
## Rb2CaSi2S6 (PBE-GGA)

Data for crystalline Rb2CaSi2S6 at its relaxed geometry.

Computed properties:
**Crystal system**: trigonal
**DOS at the Fermi energy**: 0.0000 states/eV/atom
**ΔE_f (raw)**: -11.560 eV per formula unit

a b c (Å): 7.1282 7.1282 23.3488
angles (deg): 90.00 90.00 120.00
Space group R-3m (No. 166, hexagonal axes)
Asymmetric unit:
Rb 0.0000 0.0000 0.2171 [6 per cell]
Ca 0.0000 0.0000 0.0000 [3 per cell]
Si 0.0000 0.0000 0.4122 [6 per cell]
S 0.0032 0.5016 0.2498 [18 per cell]



No. 14
## Rb3Ca2TaS6 (PBE-GGA)

Data for crystalline Rb3Ca2TaS6 at its relaxed geometry.

Computed properties:
**Crystal system**: monoclinic
**DOS at the Fermi energy**: 0.0000 states/eV/atom
**ΔE_f (raw)**: -17.532 eV per formula unit

a b c (Å): 6.988 12.088 7.932
angles (deg): 90.00 107.12 90.00
Space group C2/m (No. 12)
Asymmetric unit:
Rb 0.000 0.000 0.000 [2 per cell]
Rb 0.000 0.327 0.000 [4 per cell]
Ca 0.000 0.166 0.500 [4 per cell]
Ta 0.000 0.500 0.500 [2 per cell]
S 0.211 0.352 0.687 [8 per cell]
S 0.231 0.500 0.311 [4 per cell]



No. 15
## RbCaTaS4 (PBE-GGA)

Data for crystalline RbCaTaS4 at its relaxed geometry.

Computed properties:
**Crystal system**: monoclinic
**DOS at the Fermi energy**: 0.0000 states/eV/atom
**ΔE_f (raw)**: -9.906 eV per formula unit

a b c (Å): 6.833 7.025 9.138
angles (deg): 90.00 107.18 90.00
Space group P2_1/m (No. 11)
Asymmetric unit:
Rb 0.235 0.250 0.438 [2 per cell]
Ca 0.280 0.250 0.952 [2 per cell]
Ta 0.268 0.750 0.168 [2 per cell]
S 0.064 0.750 0.923 [2 per cell]
S 0.066 0.750 0.327 [2 per cell]
S 0.490 0.003 0.206 [4 per cell]



No. 16
## Rb2Ca2TaS6 (PBE-GGA)

Data for crystalline Rb2Ca2TaS6 at its relaxed geometry.

Computed properties:
**Crystal system**: monoclinic
**DOS at the Fermi energy**: 1.0032 states/eV/atom
**ΔE_f (raw)**: -14.788 eV per formula unit

a b c (Å): 6.919 11.718 8.158
angles (deg): 90.00 107.17 90.00
Space group C2/m (No. 12)
Asymmetric unit:
Rb 0.000 0.174 0.000 [4 per cell]
Ca 0.000 0.335 0.500 [4 per cell]
Ta 0.000 0.000 0.500 [2 per cell]
S 0.213 0.148 0.685 [8 per cell]
S 0.228 0.000 0.315 [4 per cell]



No. 17
## Rb3CaTb2S6 (PBE-GGA)

Data for crystalline Rb3CaTb2S6 at its relaxed geometry.

Computed properties:
**Crystal system**: monoclinic
**DOS at the Fermi energy**: 0.9584 states/eV/atom
**ΔE_f (raw)**: -19.951 eV per formula unit

a b c (Å): 7.151 12.387 8.050
angles (deg): 90.00 107.22 90.00
Space group C2/m (No. 12)
Asymmetric unit:
Rb 0.000 0.000 0.000 [2 per cell]
Rb 0.000 0.336 0.000 [4 per cell]
Ca 0.000 0.500 0.500 [2 per cell]
Tb 0.000 0.167 0.500 [4 per cell]
S 0.221 0.000 0.693 [4 per cell]
S 0.237 0.328 0.694 [8 per cell]



No. 18
## RbCaTeS2 (PBE-GGA)

Data for crystalline RbCaTeS2 at its relaxed geometry.

Computed properties:
**Crystal system**: tetragonal
**DOS at the Fermi energy**: 1.0542 states/eV/atom
**ΔE_f (raw)**: 0.259 eV per formula unit

a b c (Å): 5.481 5.481 6.024
angles (deg): 90.00 90.00 90.00
Space group P4/mmm (No. 123)
Asymmetric unit:
Rb 0.000 0.000 0.000 [1 per cell]
Ca 0.500 0.500 0.000 [1 per cell]
Te 0.000 0.000 0.500 [1 per cell]
S 0.000 0.500 0.500 [2 per cell]



No. 19
## Rb4CaTh3S8 (PBE-GGA)

Data for crystalline Rb4CaTh3S8 at its relaxed geometry.

Computed properties:
**Crystal system**: trigonal
**DOS at the Fermi energy**: 0.5852 states/eV/atom
**ΔE_f (raw)**: -27.408 eV per formula unit

a b c (Å): 8.3613 8.3613 23.1789
angles (deg): 90.00 90.00 120.00
Space group R-3m (No. 166, hexagonal axes)
Asymmetric unit:
Rb 0.0000 0.0000 0.0000 [3 per cell]
Rb 0.0000 0.5000 0.0000 [9 per cell]
Ca 0.0000 0.0000 0.5000 [3 per cell]
Th 0.0000 0.5000 0.5000 [9 per cell]
S 0.0000 0.0000 0.2331 [6 per cell]
S 0.0064 0.5032 0.7674 [18 per cell]



No. 20
## RbCaTi2S (PBE-GGA)

Data for crystalline RbCaTi2S at its relaxed geometry.

Computed properties:
**Crystal system**: tetragonal
**DOS at the Fermi energy**: 1.2064 states/eV/atom
**ΔE_f (raw)**: 5.013 eV per formula unit

a b c (Å): 5.990 5.990 5.252
angles (deg): 90.00 90.00 90.00
Space group P4/mmm (No. 123)
Asymmetric unit:
Rb 0.000 0.000 0.000 [1 per cell]
Ca 0.500 0.500 0.500 [1 per cell]
Ti 0.000 0.500 0.500 [2 per cell]
S 0.500 0.500 0.000 [1 per cell]



No. 21
## RbCa2TlS4 (PBE-GGA)

Data for crystalline RbCa2TlS4 at its relaxed geometry.

Computed properties:
**Crystal system**: orthorhombic
**DOS at the Fermi energy**: 0.0007 states/eV/atom
**ΔE_f (raw)**: -9.630 eV per formula unit

a b c (Å): 8.505 8.548 11.674
angles (deg): 90.00 90.00 90.00
Space group Imma (No. 74)
Asymmetric unit:
Rb 0.250 0.250 0.250 [4 per cell]
Ca 0.000 0.000 0.000 [4 per cell]
Ca 0.250 0.250 0.750 [4 per cell]
Tl 0.000 0.000 0.500 [4 per cell]
S 0.000 0.028 0.716 [8 per cell]
S 0.220 0.250 0.985 [8 per cell]



No. 22
## Rb3CaTm2S6 (PBE-GGA)

Data for crystalline Rb3CaTm2S6 at its relaxed geometry.

Computed properties:
**Crystal system**: monoclinic
**DOS at the Fermi energy**: 0.8888 states/eV/atom
**ΔE_f (raw)**: -19.938 eV per formula unit

a b c (Å): 7.061 12.232 8.030
angles (deg): 90.00 107.05 90.00
Space group C2/m (No. 12)
Asymmetric unit:
Rb 0.000 0.000 0.000 [2 per cell]
Rb 0.000 0.337 0.000 [4 per cell]
Ca 0.000 0.500 0.500 [2 per cell]
Tm 0.000 0.167 0.500 [4 per cell]
S 0.216 0.000 0.691 [4 per cell]
S 0.238 0.326 0.692 [8 per cell]



No. 23
## Rb2CaUS6 (PBE-GGA)

Data for crystalline Rb2CaUS6 at its relaxed geometry.

Computed properties:
**Crystal system**: monoclinic
**DOS at the Fermi energy**: 0.9311 states/eV/atom
**ΔE_f (raw)**: -11.666 eV per formula unit

a b c (Å): 12.967 7.513 7.481
angles (deg): 90.00 125.13 90.00
Space group C2/m (No. 12)
Asymmetric unit:
Rb 0.250 0.000 0.250 [4 per cell]
Ca 0.000 0.000 0.500 [2 per cell]
U 0.000 0.500 0.000 [2 per cell]
S 0.000 0.262 0.239 [8 per cell]
S 0.238 0.500 0.238 [4 per cell]



No. 24
## Rb2Ca2US6 (PBE-GGA)

Data for crystalline Rb2Ca2US6 at its relaxed geometry.

Computed properties:
**Crystal system**: monoclinic
**ΔE_f (raw)**: -17.603 eV per formula unit

a b c (Å): 7.078 12.060 8.176
angles (deg): 90.00 107.53 90.00
Space group C2/m (No. 12)
Asymmetric unit:
Rb 0.000 0.174 0.000 [4 per cell]
Ca 0.000 0.334 0.500 [4 per cell]
U 0.000 0.000 0.500 [2 per cell]
S 0.216 0.153 0.687 [8 per cell]
S 0.236 0.000 0.314 [4 per cell]